A plane-wave DFT calculation with PBE was carried out for a geometry-optimized La2CuSb4 structure.

Values from the calculation:
Density of states at the Fermi level: 3.68 states/eV/f.u.
Size of the total moment: 0.000 μB/atom
Space group: No. 115
Raw total energy: -36.0 eV for the cell shown
Crystal system: tetragonal

Unit cell a=4.461 b=4.461 c=9.863 alpha=90.00 beta=90.00 gamma=90.00
Element x y z (fractional)
La 0.500 0.000 0.764
La 0.000 0.500 0.236
Cu 0.500 0.500 0.000
Sb 0.500 0.500 0.500
Sb 0.000 0.000 0.500
Sb 0.000 0.500 0.865
Sb 0.500 0.000 0.135



A plane-wave DFT calculation with PBE was carried out for a geometry-optimized ZnIn2Cu structure.

Values from the calculation:
Density of states at the Fermi level: 0.72 states/eV/f.u.
Size of the total moment: 0.000 μB/atom
Space group: No. 216
Raw total energy: -9.9 eV for the cell shown
Crystal system: cubic

Unit cell a=4.865 b=4.865 c=4.865 alpha=60.00 beta=60.00 gamma=60.00
Element x y z (fractional)
Cu 0.500 0.500 0.500
In 0.000 0.000 0.000
In 0.250 0.250 0.250
Zn 0.750 0.750 0.750



A plane-wave DFT calculation with PBE was carried out for a geometry-optimized Ti8N4O3 structure.

Values from the calculation:
Density of states at the Fermi level: 9.22 states/eV/f.u.
Size of the total moment: 0.000 μB/atom
Space group: No. 12
Raw total energy: -140.4 eV for the cell shown
Crystal system: monoclinic

Unit cell a=6.046 b=6.024 c=6.024 alpha=90.09 beta=120.17 gamma=120.17
Element x y z (fractional)
Ti 0.495 0.240 0.240
Ti 0.000 0.755 0.245
Ti 0.993 0.242 0.242
Ti 0.007 0.758 0.758
Ti 0.505 0.760 0.760
Ti 0.500 0.238 0.762
Ti 0.000 0.245 0.755
Ti 0.500 0.762 0.238
O 0.500 0.500 0.000
O 0.500 0.500 0.500
O 0.500 0.000 0.500
N 0.000 0.500 0.000
N 0.500 0.000 0.000
N 0.000 0.000 0.000
N 0.000 0.000 0.500



A plane-wave DFT calculation with PBE was carried out for a geometry-optimized Na5IrO5 structure.

Values from the calculation:
Density of states at the Fermi level: 3.99 states/eV/f.u.
Size of the total moment: 0.219 μB/atom
Space group: No. 12
Raw total energy: -53.4 eV for the cell shown
Crystal system: monoclinic

Unit cell a=4.516 b=5.785 c=6.420 alpha=107.00 beta=90.00 gamma=112.98
Element x y z (fractional)
Na 0.309 0.618 0.682
Na 0.676 0.351 0.857
Na 0.324 0.649 0.143
Na 0.000 0.000 0.500
Na 0.691 0.382 0.318
Ir 0.000 0.000 0.000
O 0.133 0.265 0.846
O 0.500 0.000 0.000
O 0.855 0.711 0.706
O 0.867 0.735 0.154
O 0.145 0.289 0.294



A plane-wave DFT calculation with PBE was carried out for a geometry-optimized CrRe2Se structure.

Values from the calculation:
Density of states at the Fermi level: 3.71 states/eV/f.u.
Energy above the lowest structure with this stoichiometry: 0.134 eV/atom
Size of the total moment: 0.478 μB/atom
Space group: No. 38
Crystal system: orthorhombic

Unit cell a=3.794 b=2.916 c=5.627 alpha=75.00 beta=90.00 gamma=90.00
Element x y z (fractional)
Se 0.000 0.286 0.555
Cr 0.500 0.705 0.715
Re 0.000 0.061 0.004
Re 0.500 0.449 0.226



A plane-wave DFT calculation with PBE was carried out for a geometry-optimized BaSr2LiTl structure.

Values from the calculation:
Density of states at the Fermi level: 4.28 states/eV/f.u.
Energy above the lowest structure with this stoichiometry: 0.000 eV/atom
Size of the total moment: 0.000 μB/atom
Space group: No. 123
Crystal system: tetragonal

Unit cell a=6.527 b=6.527 c=5.516 alpha=90.00 beta=90.00 gamma=90.00
Element x y z (fractional)
Sr 0.500 0.000 0.000
Sr 0.000 0.500 0.000
Li 0.000 0.000 0.500
Tl 0.000 0.000 0.000
Ba 0.500 0.500 0.500



A plane-wave DFT calculation with PBE was carried out for a geometry-optimized SrMn4Br structure.

Values from the calculation:
Density of states at the Fermi level: 8.72 states/eV/f.u.
Size of the total moment: 2.529 μB/atom
Space group: No. 216
Raw total energy: -36.5 eV for the cell shown
Crystal system: cubic

Unit cell a=5.646 b=5.646 c=5.646 alpha=60.00 beta=60.00 gamma=60.00
Element x y z (fractional)
Mn 0.379 0.379 0.863
Mn 0.863 0.379 0.379
Mn 0.379 0.863 0.379
Mn 0.379 0.379 0.379
Sr 0.750 0.750 0.750
Br 0.000 0.000 0.000



A plane-wave DFT calculation with PBE was carried out for a geometry-optimized PrBeO3 structure.

Values from the calculation:
Density of states at the Fermi level: 0.33 states/eV/f.u.
Size of the total moment: 0.201 μB/atom
Space group: No. 59
Raw total energy: -71.6 eV for the cell shown
Crystal system: orthorhombic

Unit cell a=3.698 b=6.668 c=7.027 alpha=90.00 beta=90.00 gamma=123.69
Element x y z (fractional)
Pr 0.166 0.916 0.250
Pr 0.834 0.084 0.750
Be 0.135 0.385 0.250
Be 0.865 0.615 0.750
O 0.934 0.184 0.095
O 0.066 0.816 0.595
O 0.597 0.347 0.750
O 0.066 0.816 0.905
O 0.934 0.184 0.405
O 0.403 0.653 0.250